Material: HoMnAl2
Method: DFT, PBE
State: relaxed

a = 3.0936 Å, b = 3.0936 Å, c = 9.4229 Å
α = 80.55°, β = 80.55°, γ = 60.00°
Last column: magnetic moment on the atom in μB.
Fractional coordinates of all 4 atoms:
Ho 0.5000 0.5000 0.5000  0.07
Al 0.2615 0.2615 0.2154  -0.03
Al 0.7385 0.7385 0.7846  -0.03
Mn 0.0000 0.0000 0.0000  3.20

Summary:
Energy of formation (meV/atom): 86
Fermi-level density of states (states/eV/f.u.): 3.36
Symmetry: R-3m, No. 166
Total energy (eV for the cell shown): -20.89